1.
SiNi2Pd: optimized geometry, PBE.

Values from the calculation:
raw formation energy: -355 meV/atom
magnetization: 0.0000 μB/atom
electronic total energy: -5.900 eV per atom

Structure (CIF):
```
data_SiNi2Pd
_symmetry_space_group_name_H-M 'P 4/m m m'
_symmetry_Int_Tables_number 123
_symmetry_space_group_name_Hall '-P 4 2'
_cell_length_a 2.758
_cell_length_b 2.758
_cell_length_c 6.359
_cell_angle_alpha 90.00
_cell_angle_beta 90.00
_cell_angle_gamma 90.00
loop_
_atom_site_label
_atom_site_type_symbol
_atom_site_fract_x
_atom_site_fract_y
_atom_site_fract_z
Si1 Si 0.000 0.000 0.000
Ni1 Ni 0.500 0.500 0.209
Pd1 Pd 0.000 0.000 0.500
```

2.
BaFeP2: optimized geometry, PBE.

Values from the calculation:
magnetization: 0.8377 μB/atom
electronic total energy: -4.871 eV per atom
energy relative to the lowest polymorph listed for this composition: 0.996 eV/atom
energy of formation from the pure elements: 0.430 eV per atom

Structure (CIF):
```
data_BaFeP2
_symmetry_space_group_name_H-M 'C m m m'
_symmetry_Int_Tables_number 65
_symmetry_space_group_name_Hall '-C 2 2'
_cell_length_a 6.005
_cell_length_b 7.458
_cell_length_c 3.999
_cell_angle_alpha 90.00
_cell_angle_beta 90.00
_cell_angle_gamma 90.00
loop_
_atom_site_label
_atom_site_type_symbol
_atom_site_fract_x
_atom_site_fract_y
_atom_site_fract_z
Ba1 Ba 0.000 0.000 0.000
Fe1 Fe 0.000 0.500 0.000
P1 P 0.250 0.250 0.500
```

3.
CuBr2Cl: optimized geometry, PBE.

Values from the calculation:
raw formation energy: -159 meV/atom
magnetization: 0.0000 μB/atom
electronic total energy: -2.481 eV per atom
energy relative to the lowest polymorph listed for this composition: 0.079 eV/atom

Structure (CIF):
```
data_CuBr2Cl
_symmetry_space_group_name_H-M 'C 1 m 1'
_symmetry_Int_Tables_number 8
_cell_length_a 8.192
_cell_length_b 3.946
_cell_length_c 8.553
_cell_angle_alpha 90.00
_cell_angle_beta 117.66
_cell_angle_gamma 90.00
loop_
_symmetry_equiv_pos_as_xyz
'x,y,z'
'x,-y,z'
'x+1/2,y+1/2,z'
'x+1/2,-y+1/2,z'
loop_
_atom_site_label
_atom_site_type_symbol
_atom_site_fract_x
_atom_site_fract_y
_atom_site_fract_z
Cu1 Cu 0.000 0.000 0.000
Br1 Br 0.059 0.000 0.754
Br2 Br 0.289 0.500 0.463
Cl1 Cl 0.000 0.500 0.126
```

4.
CaIn2Pb2: optimized geometry, PBE.

Values from the calculation:
magnetization: 0.0000 μB/atom
electronic total energy: -3.202 eV per atom
energy relative to the lowest polymorph listed for this composition: 0.000 eV/atom
energy of formation from the pure elements: -0.223 eV per atom

Structure (CIF):
```
data_CaIn2Pb2
_symmetry_space_group_name_H-M 'C m c m'
_symmetry_Int_Tables_number 63
_symmetry_space_group_name_Hall '-C 2c 2'
_cell_length_a 4.966
_cell_length_b 24.311
_cell_length_c 4.779
_cell_angle_alpha 90.00
_cell_angle_beta 90.00
_cell_angle_gamma 90.00
loop_
_atom_site_label
_atom_site_type_symbol
_atom_site_fract_x
_atom_site_fract_y
_atom_site_fract_z
Ca1 Ca 0.000 0.143 0.250
In1 In 0.000 0.044 0.750
In2 In 0.000 0.454 0.750
Pb1 Pb 0.000 0.249 0.750
Pb2 Pb 0.000 0.355 0.250
```